Pr3TlSn, optimized geometry, DFT PBE-GGA; symmetry = C2/c (15); energy relative to the elements = -411.7 meV/atom; E = -0.3347 Ry/atom
1.0
-2.0249 8.6334 -2.8883
-4.4979 1.2904 7.0097
6.7405 2.9551 4.1066
Pr Tl Sn
12 4 4
Direct
0.5805 0.8041 0.0252
0.9195 0.9748 0.1959
0.4195 0.1959 0.9748
0.0805 0.0252 0.8041
0.8303 0.4283 0.0717
0.6698 0.9283 0.5717
0.1697 0.5717 0.9283
0.3302 0.0717 0.4283
0.5805 0.4753 0.6961
0.9195 0.3039 0.5247
0.4195 0.5247 0.3039
0.0805 0.6961 0.4753
0.8630 0.7036 0.7969
0.6370 0.2031 0.2964
0.1370 0.2964 0.2031
0.3630 0.7969 0.7036
0.2500 0.8598 0.1402
0.7500 0.1402 0.8598
0.2500 0.3600 0.6400
0.7500 0.6400 0.3600